Here is B2PdICl after structural relaxation from Alexandria. Energies are from PBE.

Structure (CIF):
```
data_B2PdICl
_symmetry_space_group_name_H-M 'P 1'
_symmetry_Int_Tables_number 1
_symmetry_space_group_name_Hall 'P 1'
_cell_length_a 3.235
_cell_length_b 3.518
_cell_length_c 9.347
_cell_angle_alpha 90.00
_cell_angle_beta 91.82
_cell_angle_gamma 90.00
loop_
_atom_site_label
_atom_site_type_symbol
_atom_site_fract_x
_atom_site_fract_y
_atom_site_fract_z
I1 I 0.007 0.500 0.639
B1 B 0.953 0.000 0.005
B2 B 0.470 0.000 0.064
Pd1 Pd 0.228 0.500 0.921
Cl1 Cl 0.453 0.000 0.256
```

formation energy from raw total energies: 0.019 eV/atom
E: -21.8 eV/f.u.
DOS at the Fermi energy: 0.264 states/eV per atom